A plane-wave DFT calculation with GGA+U was carried out for K2VPt3O12 after structural relaxation.

POSCAR file:
```
K2VPt3O12
1.0
3.573 2.063 5.879
-3.573 2.063 5.879
0.000 -4.126 5.879
K V Pt O
2 1 3 12
direct
0.132 0.132 0.132
0.868 0.868 0.868
0.500 0.500 0.500
0.000 0.500 0.500
0.500 0.000 0.500
0.500 0.500 0.000
0.168 0.168 0.574
0.168 0.574 0.168
0.189 0.568 0.568
0.426 0.832 0.832
0.432 0.432 0.811
0.432 0.811 0.432
0.568 0.189 0.568
0.568 0.568 0.189
0.574 0.168 0.168
0.811 0.432 0.432
0.832 0.426 0.832
0.832 0.832 0.426
```

Output
total DFT energy (no corrections) = -5.679 eV/atom